No. 1
This record from Alexandria describes a relaxed structure of Tl2HgBr3Cl. The functional is PBE.

Values from the calculation:
* uncorrected formation energy: -0.68 eV/atom
* VASP energy: -2.38 eV/atom
* crystal system: orthorhombic

Cell: 5.4835 5.6607 16.1447 Å, 90.00 90.00 90.00°
Space group Immm (No. 71)
Inequivalent atoms, fractional coordinates:
Tl 0.0000 0.0000 0.1324 x4
Hg 0.0000 0.0000 0.5000 x2
Br 0.0000 0.0000 0.3305 x4
Br 0.0000 0.5000 0.5000 x2
Cl 0.0000 0.5000 0.0000 x2

No. 2
This record from Alexandria describes a relaxed structure of HoBr2Cl. The functional is PBE.

Values from the calculation:
* uncorrected formation energy: -1.99 eV/atom
* VASP energy: -4.43 eV/atom
* crystal system: orthorhombic

Cell: 4.0897 13.9164 5.2659 Å, 90.00 90.00 90.00°
Space group Imm2 (No. 44)
Inequivalent atoms, fractional coordinates:
Ho 0.0000 0.0000 0.0000 x2
Br 0.0000 0.3619 0.4988 x4
Cl 0.0000 0.0000 0.4998 x2

No. 3
This record from Alexandria describes a relaxed structure of HoBr2Cl. The functional is PBE.

Values from the calculation:
* uncorrected formation energy: -1.99 eV/atom
* VASP energy: -4.43 eV/atom
* crystal system: monoclinic

Cell: 15.4730 4.0894 5.2655 Å, 90.00 91.10 90.00°
Space group C2/m (No. 12)
Inequivalent atoms, fractional coordinates:
Ho 0.0000 0.0000 0.0000 x2
Br 0.1242 0.5000 0.0073 x4
Cl 0.0000 0.0000 0.5000 x2

No. 4
This record from Alexandria describes a relaxed structure of HoTl2Br3Cl3. The functional is PBE.

Values from the calculation:
* uncorrected formation energy: -1.30 eV/atom
* VASP energy: -3.50 eV/atom
* crystal system: hexagonal

Cell: 8.6591 8.6591 3.8610 Å, 90.00 90.00 120.00°
Space group P-62m (No. 189)
Inequivalent atoms, fractional coordinates:
Ho 0.0000 0.0000 0.0000 x1
Tl 0.3333 0.6667 0.5000 x2
Br 0.0000 0.5847 0.0000 x3
Cl 0.0000 0.2198 0.5000 x3

No. 5
This record from Alexandria describes a relaxed structure of IBrCl5. The functional is PBE.

Values from the calculation:
* uncorrected formation energy: -0.09 eV/atom
* VASP energy: -1.87 eV/atom
* crystal system: triclinic

Cell: 7.8980 8.6055 8.6154 Å, 100.63 94.17 94.04°
Space group P1 (No. 1)
Inequivalent atoms, fractional coordinates:
I 0.0000 0.0000 0.0000 x1
I 0.4997 0.1568 0.8441 x1
Br 0.2500 0.5898 0.4100 x1
Br 0.7508 0.5897 0.4098 x1
Cl 0.0005 0.4850 0.5137 x1
Cl 0.0575 0.7205 0.9840 x1
Cl 0.0657 0.9816 0.7210 x1
Cl 0.3242 0.1034 0.0984 x1
Cl 0.3399 0.3755 0.8178 x1
Cl 0.5002 0.6950 0.3058 x1
Cl 0.6589 0.1846 0.6260 x1
Cl 0.6758 0.9017 0.8961 x1
Cl 0.9337 0.2793 0.0197 x1
Cl 0.9429 0.0147 0.2790 x1

No. 6
This record from Alexandria describes a relaxed structure of IBrCl2. The functional is PBE.

Values from the calculation:
* uncorrected formation energy: 0.60 eV/atom
* VASP energy: -1.13 eV/atom
* crystal system: cubic

Cell: 7.4142 7.4142 7.4142 Å, 90.00 90.00 90.00°
Space group Fm-3m (No. 225)
Inequivalent atoms, fractional coordinates:
I 0.0000 0.0000 0.0000 x4
Br 0.0000 0.0000 0.5000 x4
Cl 0.2500 0.2500 0.2500 x8

No. 7
This record from Alexandria describes a relaxed structure of IBrCl. The functional is PBE.

Values from the calculation:
* uncorrected formation energy: -0.12 eV/atom
* VASP energy: -1.81 eV/atom
* crystal system: triclinic

Cell: 5.2994 6.9885 7.7909 Å, 79.93 84.52 79.16°
Space group P1 (No. 1)
Inequivalent atoms, fractional coordinates:
I 0.0000 0.0000 0.0000 x1
I 0.1643 0.6876 0.5475 x1
Br 0.0696 0.3274 0.7816 x1
Br 0.9793 0.5858 0.2849 x1
Cl 0.3707 0.7936 0.8126 x1
Cl 0.6639 0.1690 0.1807 x1

No. 8
This record from Alexandria describes a relaxed structure of I3Br2Cl4. The functional is PBE.

Values from the calculation:
* uncorrected formation energy: -0.09 eV/atom
* VASP energy: -1.80 eV/atom
* crystal system: monoclinic

Cell: 12.6495 15.5503 8.9373 Å, 90.00 111.69 90.00°
Space group C2/c (No. 15)
Inequivalent atoms, fractional coordinates:
I 0.0000 0.1343 0.2500 x4
I 0.1107 0.3841 0.6087 x8
Br 0.1816 0.1336 0.1406 x8
Cl 0.0803 0.3955 0.0932 x8
Cl 0.1325 0.1348 0.5364 x8